Record 1
The following is a GGA-PBE calculation of Tl2AgH2 after structural relaxation, from Alexandria.

density: 9.8 Mg/m³
energy above the lowest structure with this stoichiometry: 276 meV/atom
uncorrected energy: -2.44 eV/atom
spin magnetization: 0.000 μB/cell

Lattice parameters (Å, degrees): 3.590 3.590 13.630 90.00 90.00 90.00
Fractional coordinates of all 10 atoms:
Tl1 0.000 0.000 0.144
Tl2 0.000 0.000 0.856
Tl3 0.500 0.500 0.356
Tl4 0.500 0.500 0.644
Ag1 0.000 0.000 0.500
Ag2 0.500 0.500 0.000
H1 0.000 0.500 0.250
H2 0.000 0.500 0.750
H3 0.500 0.000 0.250
H4 0.500 0.000 0.750

Record 2
The following is a GGA-PBE calculation of YTlAg2H after structural relaxation, from Alexandria.

density: 9.0 Mg/m³
uncorrected energy: -3.69 eV/atom
spin magnetization: 0.000 μB/cell

Lattice parameters (Å, degrees): 4.595 4.595 4.439 90.00 90.00 90.00
Fractional coordinates of all 5 atoms:
Y1 0.000 0.000 0.000
Tl1 0.500 0.500 0.000
Ag1 0.000 0.500 0.500
Ag2 0.500 0.000 0.500
H1 0.000 0.000 0.500

Record 3
The following is a GGA-PBE calculation of Zr2TlAgH after structural relaxation, from Alexandria.

density: 9.5 Mg/m³
uncorrected energy: -5.30 eV/atom
spin magnetization: 0.000 μB/cell

Lattice parameters (Å, degrees): 4.423 4.423 4.435 90.00 90.00 90.00
Fractional coordinates of all 5 atoms:
Zr1 0.000 0.500 0.000
Zr2 0.500 0.000 0.000
Tl1 0.000 0.000 0.500
Ag1 0.500 0.500 0.500
H1 0.500 0.500 0.000

Record 4
The following is a GGA-PBE calculation of Tm3Ag5H12 after structural relaxation, from Alexandria.

density: 8.0 Mg/m³
uncorrected energy: -3.52 eV/atom
spin magnetization: 0.000 μB/cell

Lattice parameters (Å, degrees): 10.466 10.466 10.466 109.47 109.47 109.47
Fractional coordinates of all 80 atoms:
Tm1 0.125 0.250 0.375
Tm2 0.125 0.375 0.750
Tm3 0.250 0.375 0.125
Tm4 0.250 0.875 0.625
Tm5 0.375 0.125 0.250
Tm6 0.375 0.750 0.125
Tm7 0.625 0.250 0.875
Tm8 0.625 0.875 0.750
Tm9 0.750 0.125 0.375
Tm10 0.750 0.625 0.875
Tm11 0.875 0.625 0.250
Tm12 0.875 0.750 0.625
Ag1 0.000 0.000 0.000
Ag2 0.000 0.000 0.500
Ag3 0.000 0.500 0.000
Ag4 0.000 0.500 0.500
Ag5 0.125 0.750 0.875
Ag6 0.125 0.875 0.250
Ag7 0.250 0.125 0.875
Ag8 0.250 0.625 0.375
Ag9 0.375 0.250 0.625
Ag10 0.375 0.625 0.750
Ag11 0.500 0.000 0.000
Ag12 0.500 0.000 0.500
Ag13 0.500 0.500 0.000
Ag14 0.500 0.500 0.500
Ag15 0.625 0.375 0.250
Ag16 0.625 0.750 0.375
Ag17 0.750 0.375 0.625
Ag18 0.750 0.875 0.125
Ag19 0.875 0.125 0.750
Ag20 0.875 0.250 0.125
H1 0.048 0.224 0.139
H2 0.048 0.324 0.909
H3 0.085 0.724 0.676
H4 0.085 0.861 0.409
H5 0.091 0.639 0.415
H6 0.091 0.952 0.676
H7 0.139 0.048 0.224
H8 0.139 0.591 0.915
H9 0.176 0.224 0.585
H10 0.176 0.452 0.591
H11 0.224 0.139 0.048
H12 0.224 0.585 0.176
H13 0.276 0.324 0.915
H14 0.276 0.452 0.361
H15 0.324 0.909 0.048
H16 0.324 0.915 0.276
H17 0.361 0.276 0.452
H18 0.361 0.585 0.909
H19 0.409 0.085 0.861
H20 0.409 0.824 0.548
H21 0.415 0.091 0.639
H22 0.415 0.824 0.776
H23 0.452 0.361 0.276
H24 0.452 0.591 0.176
H25 0.548 0.409 0.824
H26 0.548 0.639 0.724
H27 0.585 0.176 0.224
H28 0.585 0.909 0.361
H29 0.591 0.176 0.452
H30 0.591 0.915 0.139
H31 0.639 0.415 0.091
H32 0.639 0.724 0.548
H33 0.676 0.085 0.724
H34 0.676 0.091 0.952
H35 0.724 0.548 0.639
H36 0.724 0.676 0.085
H37 0.776 0.415 0.824
H38 0.776 0.861 0.952
H39 0.824 0.548 0.409
H40 0.824 0.776 0.415
H41 0.861 0.409 0.085
H42 0.861 0.952 0.776
H43 0.909 0.048 0.324
H44 0.909 0.361 0.585
H45 0.915 0.139 0.591
H46 0.915 0.276 0.324
H47 0.952 0.676 0.091
H48 0.952 0.776 0.861

Record 5
The following is a GGA-PBE calculation of Tm2AgH after structural relaxation, from Alexandria.

density: 9.3 Mg/m³
uncorrected energy: -3.97 eV/atom
spin magnetization: 0.000 μB/cell

Lattice parameters (Å, degrees): 3.572 3.572 21.613 90.00 90.00 120.00
Fractional coordinates of all 12 atoms:
Tm1 0.000 0.000 0.229
Tm2 0.000 0.000 0.771
Tm3 0.333 0.667 0.438
Tm4 0.333 0.667 0.895
Tm5 0.667 0.333 0.105
Tm6 0.667 0.333 0.562
Ag1 0.000 0.000 0.000
Ag2 0.333 0.667 0.667
Ag3 0.667 0.333 0.333
H1 0.000 0.000 0.500
H2 0.333 0.667 0.167
H3 0.667 0.333 0.833

Record 6
The following is a GGA-PBE calculation of TmAgH after structural relaxation, from Alexandria.

density: 8.3 Mg/m³
uncorrected energy: -3.77 eV/atom
spin magnetization: 0.000 μB/cell

Lattice parameters (Å, degrees): 8.105 3.592 7.602 90.00 92.84 90.00
Fractional coordinates of all 12 atoms:
Tm1 0.164 0.000 0.324
Tm2 0.336 0.500 0.676
Tm3 0.664 0.500 0.324
Tm4 0.836 0.000 0.676
Ag1 0.144 0.000 0.902
Ag2 0.356 0.500 0.098
Ag3 0.644 0.500 0.902
Ag4 0.856 0.000 0.098
H1 0.152 0.500 0.470
H2 0.348 0.000 0.530
H3 0.652 0.000 0.470
H4 0.848 0.500 0.530

Record 7
The following is a GGA-PBE calculation of V2AgH after structural relaxation, from Alexandria.

density: 6.6 Mg/m³
energy above the lowest structure with this stoichiometry: 639 meV/atom
uncorrected energy: -5.16 eV/atom
spin magnetization: 0.001 μB/cell

Lattice parameters (Å, degrees): 5.969 5.969 5.969 90.00 90.00 90.00
Fractional coordinates of all 16 atoms:
V1 0.250 0.250 0.250
V2 0.250 0.250 0.750
V3 0.250 0.750 0.250
V4 0.250 0.750 0.750
V5 0.750 0.250 0.250
V6 0.750 0.250 0.750
V7 0.750 0.750 0.250
V8 0.750 0.750 0.750
Ag1 0.000 0.000 0.000
Ag2 0.000 0.500 0.500
Ag3 0.500 0.000 0.500
Ag4 0.500 0.500 0.000
H1 0.000 0.000 0.500
H2 0.000 0.500 0.000
H3 0.500 0.000 0.000
H4 0.500 0.500 0.500

Record 8
The following is a GGA-PBE calculation of V2AgH after structural relaxation, from Alexandria.

density: 6.8 Mg/m³
energy above the lowest structure with this stoichiometry: 55 meV/atom
uncorrected energy: -5.74 eV/atom
spin magnetization: 0.000 μB/cell

Lattice parameters (Å, degrees): 5.269 5.269 5.269 60.00 60.00 60.00
Fractional coordinates of all 8 atoms:
V1 0.000 0.000 0.000
V2 0.000 0.000 0.500
V3 0.000 0.500 0.000
V4 0.500 0.000 0.000
Ag1 0.375 0.375 0.375
Ag2 0.625 0.625 0.625
H1 0.125 0.125 0.125
H2 0.875 0.875 0.875

Record 9
The following is a GGA-PBE calculation of VAgH after structural relaxation, from Alexandria.

density: 7.1 Mg/m³
uncorrected energy: -4.90 eV/atom
spin magnetization: 3.068 μB/cell

Lattice parameters (Å, degrees): 2.803 2.803 9.525 90.00 90.00 90.00
Fractional coordinates of all 6 atoms:
V1 0.250 0.250 0.092
V2 0.750 0.750 0.908
Ag1 0.250 0.250 0.381
Ag2 0.750 0.750 0.619
H1 0.250 0.250 0.895
H2 0.750 0.750 0.105

Record 10
The following is a GGA-PBE calculation of V2AgH after structural relaxation, from Alexandria.

density: 7.1 Mg/m³
energy above the lowest structure with this stoichiometry: 0 meV/atom
uncorrected energy: -5.80 eV/atom
spin magnetization: 0.003 μB/cell

Lattice parameters (Å, degrees): 2.699 2.699 23.581 90.00 90.00 120.00
Fractional coordinates of all 12 atoms:
V1 0.000 0.000 0.116
V2 0.000 0.000 0.884
V3 0.333 0.667 0.551
V4 0.333 0.667 0.782
V5 0.667 0.333 0.218
V6 0.667 0.333 0.449
Ag1 0.000 0.000 0.000
Ag2 0.333 0.667 0.667
Ag3 0.667 0.333 0.333
H1 0.000 0.000 0.500
H2 0.333 0.667 0.167
H3 0.667 0.333 0.833

Record 11
The following is a GGA-PBE calculation of V2ZnAgH after structural relaxation, from Alexandria.

density: 7.5 Mg/m³
uncorrected energy: -5.03 eV/atom
spin magnetization: 0.000 μB/cell

Lattice parameters (Å, degrees): 3.712 3.712 4.409 90.00 90.00 90.00
Fractional coordinates of all 5 atoms:
V1 0.000 0.500 0.000
V2 0.500 0.000 0.000
Zn1 0.000 0.000 0.500
Ag1 0.500 0.500 0.500
H1 0.500 0.500 0.000

Record 12
The following is a GGA-PBE calculation of AgHW after structural relaxation, from Alexandria.

density: 11.3 Mg/m³
energy above the lowest structure with this stoichiometry: 502 meV/atom
uncorrected energy: -5.69 eV/atom
spin magnetization: 0.000 μB/cell

Lattice parameters (Å, degrees): 5.748 3.343 8.968 90.00 90.00 90.00
Fractional coordinates of all 12 atoms:
Ag1 0.093 0.250 0.122
Ag2 0.407 0.750 0.622
Ag3 0.593 0.250 0.378
Ag4 0.907 0.750 0.878
H1 0.026 0.250 0.638
H2 0.474 0.750 0.138
H3 0.526 0.250 0.862
H4 0.974 0.750 0.362
W1 0.117 0.250 0.432
W2 0.383 0.750 0.932
W3 0.617 0.250 0.068
W4 0.883 0.750 0.568

Record 13
The following is a GGA-PBE calculation of AgHW after structural relaxation, from Alexandria.

density: 13.3 Mg/m³
energy above the lowest structure with this stoichiometry: 230 meV/atom
uncorrected energy: -5.96 eV/atom
spin magnetization: 0.000 μB/cell

Lattice parameters (Å, degrees): 9.901 2.880 5.125 90.00 90.00 90.00
Fractional coordinates of all 12 atoms:
Ag1 0.005 0.250 0.239
Ag2 0.495 0.750 0.739
Ag3 0.505 0.250 0.261
Ag4 0.995 0.750 0.761
H1 0.168 0.250 0.590
H2 0.332 0.750 0.090
H3 0.668 0.250 0.910
H4 0.832 0.750 0.410
W1 0.248 0.250 0.921
W2 0.252 0.750 0.421
W3 0.748 0.250 0.579
W4 0.752 0.750 0.079

Record 14
The following is a GGA-PBE calculation of AgHW after structural relaxation, from Alexandria.

density: 13.1 Mg/m³
energy above the lowest structure with this stoichiometry: 0 meV/atom
uncorrected energy: -6.19 eV/atom
spin magnetization: 0.000 μB/cell

Lattice parameters (Å, degrees): 2.855 2.857 10.060 84.13 84.52 65.38
Fractional coordinates of all 6 atoms:
Ag1 0.161 0.158 0.119
Ag2 0.839 0.842 0.881
H1 0.451 0.464 0.298
H2 0.549 0.536 0.702
W1 0.227 0.216 0.609
W2 0.773 0.784 0.391

Record 15
The following is a GGA-PBE calculation of YAg3H after structural relaxation, from Alexandria.

density: 7.8 Mg/m³
uncorrected energy: -3.52 eV/atom
spin magnetization: 0.000 μB/cell

Lattice parameters (Å, degrees): 4.446 4.446 4.446 90.00 90.00 90.00
Fractional coordinates of all 5 atoms:
Y1 0.000 0.000 0.000
Ag1 0.000 0.500 0.500
Ag2 0.500 0.000 0.500
Ag3 0.500 0.500 0.000
H1 0.500 0.500 0.500

Record 16
The following is a GGA-PBE calculation of Y12Ag3H5 after structural relaxation, from Alexandria.

density: 5.1 Mg/m³
uncorrected energy: -5.38 eV/atom
spin magnetization: 0.001 μB/cell

Lattice parameters (Å, degrees): 13.353 13.353 13.353 109.47 109.47 109.47
Fractional coordinates of all 80 atoms:
Y1 0.016 0.208 0.111
Y2 0.016 0.307 0.904
Y3 0.096 0.611 0.403
Y4 0.096 0.984 0.693
Y5 0.097 0.708 0.693
Y6 0.097 0.889 0.404
Y7 0.111 0.016 0.208
Y8 0.111 0.596 0.903
Y9 0.193 0.208 0.597
Y10 0.193 0.484 0.596
Y11 0.208 0.111 0.016
Y12 0.208 0.597 0.193
Y13 0.292 0.307 0.903
Y14 0.292 0.484 0.389
Y15 0.307 0.903 0.292
Y16 0.307 0.904 0.016
Y17 0.389 0.292 0.484
Y18 0.389 0.597 0.904
Y19 0.403 0.096 0.611
Y20 0.403 0.807 0.792
Y21 0.404 0.097 0.889
Y22 0.404 0.807 0.516
Y23 0.484 0.389 0.292
Y24 0.484 0.596 0.193
Y25 0.516 0.404 0.807
Y26 0.516 0.611 0.708
Y27 0.596 0.193 0.484
Y28 0.596 0.903 0.111
Y29 0.597 0.193 0.208
Y30 0.597 0.904 0.389
Y31 0.611 0.403 0.096
Y32 0.611 0.708 0.516
Y33 0.693 0.096 0.984
Y34 0.693 0.097 0.708
Y35 0.708 0.516 0.611
Y36 0.708 0.693 0.097
Y37 0.792 0.403 0.807
Y38 0.792 0.889 0.984
Y39 0.807 0.516 0.404
Y40 0.807 0.792 0.403
Y41 0.889 0.404 0.097
Y42 0.889 0.984 0.792
Y43 0.903 0.111 0.596
Y44 0.903 0.292 0.307
Y45 0.904 0.016 0.307
Y46 0.904 0.389 0.597
Y47 0.984 0.693 0.096
Y48 0.984 0.792 0.889
Ag1 0.125 0.250 0.375
Ag2 0.125 0.375 0.750
Ag3 0.250 0.375 0.125
Ag4 0.250 0.875 0.625
Ag5 0.375 0.125 0.250
Ag6 0.375 0.750 0.125
Ag7 0.625 0.250 0.875
Ag8 0.625 0.875 0.750
Ag9 0.750 0.125 0.375
Ag10 0.750 0.625 0.875
Ag11 0.875 0.625 0.250
Ag12 0.875 0.750 0.625
H1 0.000 0.000 0.000
H2 0.000 0.000 0.500
H3 0.000 0.500 0.000
H4 0.000 0.500 0.500
H5 0.125 0.750 0.875
H6 0.125 0.875 0.250
H7 0.250 0.125 0.875
H8 0.250 0.625 0.375
H9 0.375 0.250 0.625
H10 0.375 0.625 0.750
H11 0.500 0.000 0.000
H12 0.500 0.000 0.500
H13 0.500 0.500 0.000
H14 0.500 0.500 0.500
H15 0.625 0.375 0.250
H16 0.625 0.750 0.375
H17 0.750 0.375 0.625
H18 0.750 0.875 0.125
H19 0.875 0.125 0.750
H20 0.875 0.250 0.125

Record 17
The following is a GGA-PBE calculation of YAgH2 after structural relaxation, from Alexandria.

density: 5.8 Mg/m³
energy above the lowest structure with this stoichiometry: 63 meV/atom
uncorrected energy: -4.10 eV/atom
spin magnetization: 0.000 μB/cell

Lattice parameters (Å, degrees): 4.545 4.545 11.000 90.00 90.00 90.00
Fractional coordinates of all 16 atoms:
Y1 0.000 0.000 0.000
Y2 0.000 0.500 0.250
Y3 0.500 0.000 0.750
Y4 0.500 0.500 0.500
Ag1 0.000 0.000 0.500
Ag2 0.000 0.500 0.750
Ag3 0.500 0.000 0.250
Ag4 0.500 0.500 0.000
H1 0.240 0.250 0.625
H2 0.250 0.740 0.875
H3 0.250 0.760 0.375
H4 0.260 0.250 0.125
H5 0.740 0.750 0.125
H6 0.750 0.240 0.375
H7 0.750 0.260 0.875
H8 0.760 0.750 0.625